Entry 1:
# HfOs2RhW

HfOs2RhW at its PBEsol-relaxed geometry (SCAN, the Alexandria database).

```
HfOs2RhW
1.0
4.609 0.000 0.000
0.000 4.609 0.000
0.000 0.000 4.578
Hf Os Rh W
1 2 1 1
direct
0.000 0.000 0.000 Hf
0.000 0.500 0.500 Os
0.500 0.000 0.500 Os
0.500 0.500 0.500 Rh
0.500 0.500 0.000 W
```

Properties
- Space group: P4/mmm (123)
- Crystal system: tetragonal
- Fermi-level density of states: 5.19 states/eV/cell
- E_form: 1.8158 eV/atom
- M_tot: 0.00 μB/cell


Entry 2:
# Hf2OsRu

Hf2OsRu at its PBEsol-relaxed geometry (SCAN, the Alexandria database).

```
Hf2OsRu
1.0
0.000 3.209 3.209
3.209 0.000 3.209
3.209 3.209 0.000
Hf Os Ru
2 1 1
direct
0.250 0.250 0.250 Hf
0.750 0.750 0.750 Hf
0.000 0.000 0.000 Os
0.500 0.500 0.500 Ru
```

Properties
- Space group: Fm-3m (225)
- Crystal system: cubic
- Fermi-level density of states: 0.72 states/eV/cell
- E_form: -0.9511 eV/atom
- M_tot: 0.00 μB/cell


Entry 3:
# Hf2TiOsRu

Hf2TiOsRu at its PBEsol-relaxed geometry (SCAN, the Alexandria database).

```
Hf2TiOsRu
1.0
4.833 0.000 0.000
0.000 4.833 0.000
0.000 0.000 4.370
Hf Ti Os Ru
2 1 1 1
direct
0.000 0.500 0.000 Hf
0.500 0.000 0.000 Hf
0.000 0.000 0.500 Ti
0.500 0.500 0.500 Os
0.000 0.000 0.000 Ru
```

Properties
- Space group: P4/mmm (123)
- Crystal system: tetragonal
- Fermi-level density of states: 4.79 states/eV/cell
- E_form: 0.6813 eV/atom
- M_tot: 0.00 μB/cell


Entry 4:
# HfOs3S

HfOs3S at its PBEsol-relaxed geometry (SCAN, the Alexandria database).

```
HfOs3S
1.0
4.771 0.000 0.000
0.000 4.771 0.000
0.000 0.000 4.771
Hf Os S
1 3 1
direct
0.000 0.000 0.000 Hf
0.000 0.000 0.500 Os
0.000 0.500 0.000 Os
0.500 0.000 0.000 Os
0.500 0.500 0.500 S
```

Properties
- Space group: Pm-3m (221)
- Crystal system: cubic
- Fermi-level density of states: 5.97 states/eV/cell
- M_tot: 2.07 μB/cell
- Final energy: -273.96 eV for the cell shown